1.
# KPa3O8, relaxed, DFT GGA-PBE
# Electronic total energy   -8.89 eV/atom
# E_form (uncorrected)   -37.41 eV/f.u.
# M_tot   0.0 μB per cell
data_KPa3O8
_cell_length_a 6.228
_cell_length_b 6.228
_cell_length_c 7.875
_cell_angle_alpha 90.00
_cell_angle_beta 90.00
_cell_angle_gamma 120.00
_symmetry_space_group_name_H-M 'P 1'
_symmetry_Int_Tables_number 1
loop_
_symmetry_equiv_pos_as_xyz
'x,y,z'
loop_
_atom_site_label
_atom_site_fract_x
_atom_site_fract_y
_atom_site_fract_z
O1 0.667 0.333 0.679
O2 0.341 0.300 0.109
O3 0.333 0.667 0.321
O4 0.300 0.959 0.891
O5 0.659 0.700 0.891
O6 0.959 0.659 0.109
Pa1 0.333 0.667 0.080
K1 0.000 0.000 0.500
O7 0.700 0.041 0.109
Pa2 0.667 0.333 0.920
O8 0.041 0.341 0.891
Pa3 0.000 0.000 0.000

---

2.
# Li4CdSb, relaxed, DFT GGA-PBE
# Electronic total energy   -2.26 eV/atom
# E_form (uncorrected)   -0.87 eV/f.u.
# M_tot   0.0 μB per cell
# Excess energy over the best structure of this formula in the dataset   11.5 meV per atom
data_Li4CdSb
_cell_length_a 7.838
_cell_length_b 7.838
_cell_length_c 7.838
_cell_angle_alpha 103.14
_cell_angle_beta 103.14
_cell_angle_gamma 123.05
_symmetry_space_group_name_H-M 'P 1'
_symmetry_Int_Tables_number 1
loop_
_symmetry_equiv_pos_as_xyz
'x,y,z'
loop_
_atom_site_label
_atom_site_fract_x
_atom_site_fract_y
_atom_site_fract_z
Li1 0.191 0.019 0.172
Li2 0.712 0.470 0.242
Li3 0.228 0.470 0.758
Cd1 0.460 0.960 0.500
Li4 0.769 0.097 0.328
Li5 0.220 0.478 0.258
Sb1 0.312 0.312 0.000
Li6 0.769 0.441 0.672
Li7 0.847 0.019 0.828
Cd2 0.710 0.710 0.000
Sb2 0.062 0.562 0.500
Li8 0.220 0.962 0.742

---

3.
# CuOsCl2, relaxed, DFT GGA-PBE
# Electronic total energy   -4.20 eV/atom
# E_form (uncorrected)   2.20 eV/f.u.
# M_tot   1.0 μB per cell
# Excess energy over the best structure of this formula in the dataset   328.9 meV per atom
data_CuOsCl2
_cell_length_a 2.978
_cell_length_b 2.978
_cell_length_c 7.949
_cell_angle_alpha 90.00
_cell_angle_beta 90.00
_cell_angle_gamma 90.00
_symmetry_space_group_name_H-M 'P 1'
_symmetry_Int_Tables_number 1
loop_
_symmetry_equiv_pos_as_xyz
'x,y,z'
loop_
_atom_site_label
_atom_site_fract_x
_atom_site_fract_y
_atom_site_fract_z
Cl1 0.500 0.500 0.331
Os1 0.500 0.500 0.733
Cl2 0.000 0.000 0.920
Cu1 0.000 0.000 0.516

---

4.
# KRbP2Cl, relaxed, DFT GGA-PBE
# Electronic total energy   -2.62 eV/atom
# E_form (uncorrected)   1.64 eV/f.u.
# M_tot   5.0 μB per cell
# Excess energy over the best structure of this formula in the dataset   0.0 meV per atom
data_KRbP2Cl
_cell_length_a 6.233
_cell_length_b 6.233
_cell_length_c 5.882
_cell_angle_alpha 90.00
_cell_angle_beta 90.00
_cell_angle_gamma 90.00
_symmetry_space_group_name_H-M 'P 1'
_symmetry_Int_Tables_number 1
loop_
_symmetry_equiv_pos_as_xyz
'x,y,z'
loop_
_atom_site_label
_atom_site_fract_x
_atom_site_fract_y
_atom_site_fract_z
P1 0.000 0.500 0.000
Rb1 0.500 0.500 0.500
K1 0.000 0.000 0.000
Cl1 0.000 0.000 0.500
P2 0.500 0.000 0.000

---

5.
# SbTe2Br, relaxed, DFT GGA-PBE
# Electronic total energy   -2.94 eV/atom
# E_form (uncorrected)   0.31 eV/f.u.
# M_tot   0.0 μB per cell
# Excess energy over the best structure of this formula in the dataset   253.1 meV per atom
data_SbTe2Br
_cell_length_a 4.023
_cell_length_b 4.023
_cell_length_c 7.512
_cell_angle_alpha 90.00
_cell_angle_beta 90.00
_cell_angle_gamma 90.00
_symmetry_space_group_name_H-M 'P 1'
_symmetry_Int_Tables_number 1
loop_
_symmetry_equiv_pos_as_xyz
'x,y,z'
loop_
_atom_site_label
_atom_site_fract_x
_atom_site_fract_y
_atom_site_fract_z
Sb1 0.500 0.500 0.750
Te1 0.000 0.000 0.948
Br1 0.500 0.500 0.250
Te2 0.000 0.000 0.552

---

6.
# Ho2In3Hg4, relaxed, DFT GGA-PBE
# Electronic total energy   -2.24 eV/atom
# M_tot   0.0 μB per cell
# Formation energy   -0.176 eV/atom
data_Ho2In3Hg4
_cell_length_a 6.297
_cell_length_b 8.663
_cell_length_c 8.882
_cell_angle_alpha 90.00
_cell_angle_beta 110.76
_cell_angle_gamma 90.00
_symmetry_space_group_name_H-M 'P 1'
_symmetry_Int_Tables_number 1
loop_
_symmetry_equiv_pos_as_xyz
'x,y,z'
loop_
_atom_site_label
_atom_site_fract_x
_atom_site_fract_y
_atom_site_fract_z
Hg1 0.326 0.447 0.653
In1 0.468 0.250 0.436
Hg2 0.174 0.947 0.347
Ho1 0.889 0.422 0.778
Hg3 0.706 0.750 0.913
Ho2 0.111 0.578 0.222
Hg4 0.294 0.250 0.087
In2 0.032 0.750 0.564
In3 0.500 0.500 0.000
Ho3 0.611 0.922 0.222
Hg5 0.826 0.053 0.653
Hg6 0.674 0.553 0.347
Hg7 0.206 0.750 0.913
In4 0.532 0.750 0.564
In5 0.968 0.250 0.436
In6 0.000 0.000 0.000
Ho4 0.389 0.078 0.778
Hg8 0.794 0.250 0.087

---

7.
# Dy5Ga, relaxed, DFT GGA-PBE
# Electronic total energy   -4.47 eV/atom
# M_tot   0.0 μB per cell
# Formation energy   -0.128 eV/atom
data_Dy5Ga
_cell_length_a 4.798
_cell_length_b 4.750
_cell_length_c 7.795
_cell_angle_alpha 107.74
_cell_angle_beta 90.00
_cell_angle_gamma 90.00
_symmetry_space_group_name_H-M 'P 1'
_symmetry_Int_Tables_number 1
loop_
_symmetry_equiv_pos_as_xyz
'x,y,z'
loop_
_atom_site_label
_atom_site_fract_x
_atom_site_fract_y
_atom_site_fract_z
Ga1 0.000 0.000 0.000
Dy1 0.000 0.341 0.683
Dy2 0.500 0.835 0.669
Dy3 0.000 0.659 0.317
Dy4 0.500 0.165 0.331
Dy5 0.500 0.500 0.000

---

8.
# U2Ge8Ru, relaxed, DFT GGA-PBE
# Electronic total energy   -6.51 eV/atom
# M_tot   2.0 μB per cell
# Formation energy   -0.253 eV/atom
data_U2Ge8Ru
_cell_length_a 4.263
_cell_length_b 4.263
_cell_length_c 11.092
_cell_angle_alpha 90.00
_cell_angle_beta 90.00
_cell_angle_gamma 90.00
_symmetry_space_group_name_H-M 'P 1'
_symmetry_Int_Tables_number 1
loop_
_symmetry_equiv_pos_as_xyz
'x,y,z'
loop_
_atom_site_label
_atom_site_fract_x
_atom_site_fract_y
_atom_site_fract_z
Ge1 0.500 0.000 0.873
Ge2 0.500 0.500 0.312
Ge3 0.500 0.000 0.500
Ge4 0.500 0.500 0.688
Ge5 0.500 0.000 0.127
Ge6 0.000 0.500 0.500
Ge7 0.000 0.500 0.873
Ge8 0.000 0.500 0.127
U1 0.000 0.000 0.315
U2 0.000 0.000 0.685
Ru1 0.000 0.000 0.000

---

9.
# BeGaPb2I, relaxed, DFT GGA-PBE
# Electronic total energy   -2.88 eV/atom
# E_form (uncorrected)   1.30 eV/f.u.
# M_tot   0.0 μB per cell
data_BeGaPb2I
_cell_length_a 5.620
_cell_length_b 4.900
_cell_length_c 5.620
_cell_angle_alpha 90.00
_cell_angle_beta 90.00
_cell_angle_gamma 90.00
_symmetry_space_group_name_H-M 'P 1'
_symmetry_Int_Tables_number 1
loop_
_symmetry_equiv_pos_as_xyz
'x,y,z'
loop_
_atom_site_label
_atom_site_fract_x
_atom_site_fract_y
_atom_site_fract_z
I1 0.500 0.500 0.500
Be1 0.000 0.000 0.000
Ga1 0.000 0.500 0.000
Pb1 0.000 0.000 0.500
Pb2 0.500 0.000 0.000

---

10.
# Tb4Al2Cd, relaxed, DFT GGA-PBE
# Electronic total energy   -3.91 eV/atom
# M_tot   0.0 μB per cell
# Excess energy over the best structure of this formula in the dataset   167.9 meV per atom
# Formation energy   -0.065 eV/atom
data_Tb4Al2Cd
_cell_length_a 5.098
_cell_length_b 5.098
_cell_length_c 9.531
_cell_angle_alpha 74.49
_cell_angle_beta 74.49
_cell_angle_gamma 60.00
_symmetry_space_group_name_H-M 'P 1'
_symmetry_Int_Tables_number 1
loop_
_symmetry_equiv_pos_as_xyz
'x,y,z'
loop_
_atom_site_label
_atom_site_fract_x
_atom_site_fract_y
_atom_site_fract_z
Tb1 0.206 0.206 0.381
Al1 0.096 0.096 0.713
Tb2 0.794 0.794 0.619
Tb3 0.620 0.620 0.141
Al2 0.904 0.904 0.287
Cd1 0.000 0.000 0.000
Tb4 0.380 0.380 0.859

---

11.
# SrLi3Zn, relaxed, DFT GGA-PBE
# Electronic total energy   -1.73 eV/atom
# M_tot   0.0 μB per cell
# Excess energy over the best structure of this formula in the dataset   66.2 meV per atom
# Formation energy   0.014 eV/atom
data_SrLi3Zn
_cell_length_a 5.064
_cell_length_b 5.064
_cell_length_c 5.064
_cell_angle_alpha 90.00
_cell_angle_beta 90.00
_cell_angle_gamma 90.00
_symmetry_space_group_name_H-M 'P 1'
_symmetry_Int_Tables_number 1
loop_
_symmetry_equiv_pos_as_xyz
'x,y,z'
loop_
_atom_site_label
_atom_site_fract_x
_atom_site_fract_y
_atom_site_fract_z
Zn1 0.000 0.000 0.000
Li1 0.000 0.000 0.500
Li2 0.500 0.000 0.000
Sr1 0.500 0.500 0.500
Li3 0.000 0.500 0.000

---

12.
# Ta5In, relaxed, DFT GGA-PBE
# Electronic total energy   -10.11 eV/atom
# M_tot   0.0 μB per cell
# Excess energy over the best structure of this formula in the dataset   161.9 meV per atom
# Formation energy   0.227 eV/atom
data_Ta5In
_cell_length_a 5.844
_cell_length_b 5.844
_cell_length_c 7.300
_cell_angle_alpha 77.81
_cell_angle_beta 77.81
_cell_angle_gamma 27.83
_symmetry_space_group_name_H-M 'P 1'
_symmetry_Int_Tables_number 1
loop_
_symmetry_equiv_pos_as_xyz
'x,y,z'
loop_
_atom_site_label
_atom_site_fract_x
_atom_site_fract_y
_atom_site_fract_z
Ta1 0.271 0.271 0.958
In1 0.007 0.007 0.988
Ta2 0.342 0.342 0.315
Ta3 0.934 0.934 0.621
Ta4 0.674 0.674 0.652
Ta5 0.605 0.605 0.299

---

> The highest electronic total energy belongs to which entry?

SrLi3Zn